The following is a DFT calculation (PBE-GGA) of a relaxed Ba2HgPb crystal.

- DFT formation energy (eV per atom) = -0.33
- relative energy among the computed polymorphs (meV/atom) = 267
- total magnetic moment (μB per cell) = 0.00
- density of states at the Fermi level (states/eV/cell) = 4.2

abc: 4.9854 4.9854 7.2159
angles: 90.00 90.00 90.00
Last column: nearest neighbours and their distance in Å.
Space group P4mm (No. 99)
Symmetry-distinct sites (fractional):
Ba 0.0000 0.0000 0.0000  2 Hg 3.45-3.76, 4 Pb 3.59
Ba 0.5000 0.5000 0.4253  2 Pb 3.49-3.72, 4 Hg 3.59
Hg 0.0000 0.0000 0.5217  6 Ba 3.45-3.76
Pb 0.5000 0.5000 0.9095  6 Ba 3.49-3.72